# Li2Zn2WO6, relaxed, DFT PBE with a Hubbard U
# VASP energy, eV per cell: -125.2
data_Li2Zn2WO6
_chemical_formula_sum 'Li4 Zn4 W2 O12'
_cell_length_a 5.519
_cell_length_b 8.891
_cell_length_c 5.377
_cell_angle_alpha 90.00
_cell_angle_beta 113.25
_cell_angle_gamma 90.00
_symmetry_space_group_name_H-M 'C 1 2/m 1'
_symmetry_Int_Tables_number 12
_symmetry_space_group_name_Hall '-C 2y'
loop_
_atom_site_label
_atom_site_type_symbol
_atom_site_fract_x
_atom_site_fract_y
_atom_site_fract_z
Li1 Li 0.000 0.186 0.000
Zn1 Zn 0.000 0.338 0.500
W1 W 0.000 0.000 0.500
O1 O 0.220 0.160 0.733
O2 O 0.224 0.000 0.291